Record 1
Nd5Y2In4 after structural relaxation. Source: Alexandria via LeMat-Bulk, functional PBE-GGA.

abc: 11.839 11.839 8.584
angles: 106.39 106.39 17.62
Fractional positions:
Nd  0.000  0.000  0.000
Nd  0.328  0.328  0.562
Nd  0.377  0.377  0.035
Nd  0.623  0.623  0.965
Nd  0.672  0.672  0.438
Y  0.228  0.228  0.813
Y  0.772  0.772  0.187
In  0.087  0.087  0.624
In  0.479  0.479  0.670
In  0.521  0.521  0.330
In  0.913  0.913  0.376

Space group = C2/m
Energy above the lowest structure with this stoichiometry = 205 meV/atom
Spin magnetization = 0.000 μB per atom
N(E_F) = 1.162 states/eV per atom
Formation enthalpy at 0 K = -0.090 eV/atom

Record 2
Nd2YIn after structural relaxation. Source: Alexandria via LeMat-Bulk, functional PBE-GGA.

abc: 5.581 5.581 5.581
angles: 60.00 60.00 60.00
Fractional positions:
Nd  0.250  0.250  0.250
Nd  0.750  0.750  0.750
Y  0.000  0.000  0.000
In  0.500  0.500  0.500

Space group = Fm-3m
Energy above the lowest structure with this stoichiometry = 134 meV/atom
Spin magnetization = 0.222 μB per atom
N(E_F) = 1.677 states/eV per atom
Formation enthalpy at 0 K = -0.142 eV/atom

Record 3
NdYIn6 after structural relaxation. Source: Alexandria via LeMat-Bulk, functional PBE-GGA.

abc: 4.682 4.682 9.356
angles: 90.00 90.00 90.00
Fractional positions:
Nd  0.000  0.000  0.000
Y  0.000  0.000  0.500
In  0.000  0.500  0.254
In  0.000  0.500  0.746
In  0.500  0.000  0.254
In  0.500  0.000  0.746
In  0.500  0.500  0.000
In  0.500  0.500  0.500

Space group = P4/mmm
Energy above the lowest structure with this stoichiometry = 0 meV/atom
Spin magnetization = 0.000 μB per atom
N(E_F) = 0.379 states/eV per atom
Formation enthalpy at 0 K = -0.449 eV/atom